VASP calculation (PBE) on a relaxed structure of Cs2KCuH6.

Cell and atoms, written as CIF:
```
data_Cs2KCuH6
_chemical_formula_sum 'Cs4 K2 Cu2 H12'
_symmetry_space_group_name_H-M 'I 4/m m m'
_symmetry_Int_Tables_number 139
_symmetry_space_group_name_Hall '-I 4 2'
_cell_length_a 6.043
_cell_length_b 6.043
_cell_length_c 9.638
_cell_angle_alpha 90.00
_cell_angle_beta 90.00
_cell_angle_gamma 90.00
loop_
_atom_site_label
_atom_site_type_symbol
_atom_site_fract_x
_atom_site_fract_y
_atom_site_fract_z
Cs1 Cs 0.000 0.500 0.250
K1 K 0.000 0.000 0.000
Cu1 Cu 0.000 0.000 0.500
H1 H 0.000 0.000 0.260
H2 H 0.179 0.179 0.500
```

Calculated values
Its calculated total energy is -26.60 eV/f.u.